PBE SiHgTe, optimized geometry; excess energy over the best structure of this formula in the dataset = 0.0000 eV per atom
1.0
3.139 -2.413 2.915
2.926 2.497 3.062
-0.791 -0.179 4.849
Hg Si Te
1 1 1
Direct
0.250 0.250 0.250
0.000 0.000 0.000
0.750 0.750 0.750